1.
The following is a DFT calculation (PBE) of a relaxed structure of Tb8Nd3Sm.

## Properties
The value obtained for the theoretical density is 7054 kg/m³. As for the raw total energy: -4.065 eV per atom. The energy of formation from the pure elements comes out at 7.28 eV per formula unit.

Cell: 8.755 8.755 11.391 Å, 90.00 90.00 90.00°
Space group I-42m (No. 121)
Symmetry-distinct sites (fractional):
Tb: 0.125 0.125 0.252 [8 per cell]
Tb: 0.248 0.248 0.504 [8 per cell]
Nd: 0.000 0.000 0.000 [2 per cell]
Nd: 0.000 0.500 0.250 [4 per cell]
Sm: 0.000 0.000 0.500 [2 per cell]

***

2.
The following is a DFT calculation (PBE) of a relaxed structure of CaTbSnPt.

## Properties
The value obtained for the theoretical density is 8780 kg/m³. As for the raw total energy: -4.951 eV per atom. The energy of formation from the pure elements comes out at -3.13 eV per formula unit.

Cell: 7.293 7.293 7.293 Å, 90.00 90.00 90.00°
Space group F-43m (No. 216)
Symmetry-distinct sites (fractional):
Ca: 0.000 0.000 0.000 [4 per cell]
Tb: 0.000 0.000 0.500 [4 per cell]
Sn: 0.250 0.250 0.250 [4 per cell]
Pt: 0.250 0.250 0.750 [4 per cell]

***

3.
The following is a DFT calculation (PBE) of a relaxed structure of Sc2In3Pd7.

## Properties
The value obtained for the theoretical density is 8534 kg/m³. As for the raw total energy: -5.309 eV per atom. The energy of formation from the pure elements comes out at -6.48 eV per formula unit.

Cell: 4.663 4.543 11.079 Å, 90.00 102.12 90.00°
Space group P2/m (No. 10)
Symmetry-distinct sites (fractional):
Sc: 0.154 0.000 0.307 [2 per cell]
In: 0.000 0.000 0.000 [1 per cell]
In: 0.351 0.500 0.704 [2 per cell]
Pd: 0.077 0.500 0.154 [2 per cell]
Pd: 0.284 0.000 0.567 [2 per cell]
Pd: 0.427 0.000 0.851 [2 per cell]
Pd: 0.500 0.500 0.000 [1 per cell]

***

4.
The following is a DFT calculation (PBE) of a relaxed structure of SrCaSb2.

## Properties
The value obtained for the relative energy among the computed polymorphs is 108 meV/atom. The value obtained for the theoretical density is 4495 kg/m³. As for the raw total energy: -3.698 eV per atom. The formation energy (no corrections) is -0.72 eV per atom.

Cell: 4.2129 4.2129 26.7650 Å, 90.00 90.00 120.00°
Space group R-3m (No. 166, hexagonal axes)
Symmetry-distinct sites (fractional):
Sr: 0.0000 0.0000 0.0000 [3 per cell]
Ca: 0.0000 0.0000 0.5000 [3 per cell]
Sb: 0.0000 0.0000 0.2465 [6 per cell]

***

5.
The following is a DFT calculation (PBE) of a relaxed structure of ZrAg2W.

## Properties
The value obtained for the theoretical density is 11215 kg/m³. As for the raw total energy: -6.443 eV per atom. The energy of formation from the pure elements comes out at 1.43 eV per formula unit.

Cell: 2.703 4.678 5.900 Å, 90.00 103.11 90.00°
Space group Pm (No. 6)
Symmetry-distinct sites (fractional):
Zr: 0.000 0.000 0.000 [1 per cell]
Ag: 0.624 0.500 0.247 [1 per cell]
Ag: 0.747 0.000 0.500 [1 per cell]
W: 0.361 0.500 0.723 [1 per cell]

***

6.
The following is a DFT calculation (PBE) of a relaxed structure of LiNi2Pd7.

## Properties
The value obtained for the theoretical density is 7830 kg/m³. As for the raw total energy: -4.562 eV per atom. The energy of formation from the pure elements comes out at 4.21 eV per formula unit.

Cell: 7.208 12.087 4.232 Å, 90.00 90.00 90.00°
Space group Cmmm (No. 65)
Symmetry-distinct sites (fractional):
Li: 0.000 0.000 0.000 [2 per cell]
Ni: 0.000 0.301 0.500 [4 per cell]
Pd: 0.000 0.207 0.000 [4 per cell]
Pd: 0.000 0.500 0.500 [2 per cell]
Pd: 0.188 0.117 0.500 [8 per cell]

***

7.
The following is a DFT calculation (PBE) of a relaxed structure of HfTlCd.

## Properties
The value obtained for the relative energy among the computed polymorphs is 64 meV/atom. The value obtained for the theoretical density is 12157 kg/m³. As for the raw total energy: -4.205 eV per atom. The energy of formation from the pure elements comes out at 0.62 eV per formula unit.

Cell: 4.8676 4.8676 3.2970 Å, 90.00 90.00 120.00°
Space group P3m1 (No. 156)
Symmetry-distinct sites (fractional):
Hf: 0.0000 0.0000 0.0000 [1 per cell]
Tl: 0.6667 0.3333 0.3825 [1 per cell]
Cd: 0.3333 0.6667 0.5907 [1 per cell]

***

8.
The following is a DFT calculation (PBE) of a relaxed structure of RbHf3In.

## Properties
The value obtained for the relative energy among the computed polymorphs is 724 meV/atom. The value obtained for the theoretical density is 9462 kg/m³. As for the raw total energy: -4.527 eV per atom. The energy of formation from the pure elements comes out at 10.93 eV per formula unit.

Cell: 5.054 5.054 5.054 Å, 90.00 90.00 90.00°
Space group Pm-3m (No. 221)
Symmetry-distinct sites (fractional):
Rb: 0.000 0.000 0.000 [1 per cell]
Hf: 0.000 0.000 0.500 [3 per cell]
In: 0.500 0.500 0.500 [1 per cell]

***

- Which formula does entry 3 have?
  Sc2In3Pd7

***

Please write out number 8 again, unchanged.
The following is a DFT calculation (PBE) of a relaxed structure of RbHf3In.

## Properties
The value obtained for the relative energy among the computed polymorphs is 724 meV/atom. The value obtained for the theoretical density is 9462 kg/m³. As for the raw total energy: -4.527 eV per atom. The energy of formation from the pure elements comes out at 10.93 eV per formula unit.

Cell: 5.054 5.054 5.054 Å, 90.00 90.00 90.00°
Space group Pm-3m (No. 221)
Symmetry-distinct sites (fractional):
Rb: 0.000 0.000 0.000 [1 per cell]
Hf: 0.000 0.000 0.500 [3 per cell]
In: 0.500 0.500 0.500 [1 per cell]

***

- What is the formula in the seventh record?
  HfTlCd

***

- raw total energy of number 3 (Sc2In3Pd7)?
  -5.309 eV per atom